Computed, not measured: a relaxed structure of Te3Cl at the PBE level of DFT. Values from VASP.

Structure (Quantum ESPRESSO input):
```
&SYSTEM
  ibrav = 0, nat = 4, ntyp = 2
/
ATOMIC_SPECIES
Cl 35.45 Cl.upf
Te 127.60 Te.upf
CELL_PARAMETERS angstrom
-1.2336 3.5900 -0.2404
-1.7827 -2.7563 -1.9215
-5.5408 -1.4230 7.1816
ATOMIC_POSITIONS crystal
Cl 0.0000 0.0000 0.0000
Te 0.0000 0.0000 0.5000
Te 0.6667 0.3333 0.2607
Te 0.6667 0.3333 0.7393
```

SG: P-6m2 (187)
Energy relative to the elements, uncorrected in meV per atom: 112
Energy relative to the lowest polymorph listed for this composition in meV per atom: 170